1.
Crystalline NaTmZn at its relaxed geometry, computed with PBE.

Cell and atoms, written as POSCAR:
```
NaTmZn
1.0
0.000 3.438 3.438
3.438 0.000 3.438
3.438 3.438 0.000
Zn Na Tm
1 1 1
direct
0.000 0.000 0.000
0.250 0.250 0.250
0.750 0.750 0.750
```

Electronic total energy, eV per atom: -2.076
ρ, g/cm3: 5.257
Excess energy over the best structure of this formula in the dataset, eV/atom: 0.000

2.
Crystalline GdSiTe at its relaxed geometry, computed with PBE.

Cell and atoms, written as POSCAR:
```
GdSiTe
1.0
2.400 -2.194 3.652
-0.934 -4.678 1.077
3.327 -3.446 -0.984
Te Si Gd
1 1 1
direct
0.750 0.750 0.750
0.000 0.000 0.000
0.250 0.250 0.250
```

Electronic total energy, eV per atom: -4.567
ρ, g/cm3: 6.285

3.
Crystalline NbAlZnCu at its relaxed geometry, computed with PBE.

Cell and atoms, written as POSCAR:
```
NbAlZnCu
1.0
2.611 -1.201 3.325
-1.489 -2.765 3.076
1.554 -4.107 0.202
Al Zn Cu Nb
1 1 1 1
direct
0.000 0.000 0.000
0.500 0.500 0.500
0.750 0.750 0.750
0.250 0.250 0.250
```

Electronic total energy, eV per atom: -4.635
ρ, g/cm3: 6.882
Excess energy over the best structure of this formula in the dataset, eV/atom: 0.006

4.
Crystalline Nd3TlC at its relaxed geometry, computed with PBE.

Cell and atoms, written as POSCAR:
```
Nd3TlC
1.0
-3.366 -2.412 3.029
3.868 -2.266 2.495
0.165 3.921 3.305
Nd C Tl
3 1 1
direct
0.500 0.500 0.000
0.500 0.000 0.500
0.000 0.500 0.500
0.500 0.500 0.500
0.000 0.000 0.000
```

Electronic total energy, eV per atom: -5.459
ρ, g/cm3: 7.981

5.
Crystalline AcLuSi at its relaxed geometry, computed with PBE.

Cell and atoms, written as POSCAR:
```
AcLuSi
1.0
0.768 1.922 4.825
-3.015 -1.619 3.981
2.028 -3.061 3.753
Lu Si Ac
1 1 1
direct
0.250 0.250 0.250
0.750 0.750 0.750
0.000 0.000 0.000
```

Electronic total energy, eV per atom: -4.056
ρ, g/cm3: 6.978
Excess energy over the best structure of this formula in the dataset, eV/atom: 0.903

6.
Crystalline RbTe4IrAu3 at its relaxed geometry, computed with PBE.

Cell and atoms, written as POSCAR:
```
RbTe4IrAu3
1.0
6.829 0.000 0.000
0.000 6.829 0.000
0.000 0.000 6.829
Te Au Ir Rb
4 3 1 1
direct
0.786 0.786 0.786
0.214 0.214 0.786
0.214 0.786 0.214
0.786 0.214 0.214
0.500 0.000 0.000
0.000 0.000 0.500
0.000 0.500 0.000
0.000 0.000 0.000
0.500 0.500 0.500
```

Electronic total energy, eV per atom: -3.589
ρ, g/cm3: 7.190